Entry 1:
An optimized crystal structure of Ta3MnOs2. Source: Alexandria via LeMat-Bulk, functional PBE.

Properties
SG ... P2/m

abc: 4.428 6.998 6.406
angles: 90.00 90.00 71.52
Sites, in units of the cell vectors:
Ta 0.830 0.340 0.762
Ta 0.500 0.000 0.243
Ta 0.170 0.660 0.238
Ta 0.830 0.340 0.238
Ta 0.170 0.660 0.762
Ta 0.500 0.000 0.757
Mn 0.334 0.330 0.000
Mn 0.666 0.670 0.000
Os 0.000 0.000 0.000
Os 0.000 0.000 0.500
Os 0.334 0.332 0.500
Os 0.666 0.668 0.500

Entry 2:
An optimized crystal structure of Nd2SnSe. Source: Alexandria via LeMat-Bulk, functional PBE.

Properties
Raw formation energy ... -1.14 eV per atom
SG ... P4/mmm
E above lowest polymorph ... 165 meV per atom

abc: 3.608 3.608 8.216
angles: 90.00 90.00 90.00
Sites, in units of the cell vectors:
Nd 0.000 0.000 0.770
Nd 0.000 0.000 0.230
Sn 0.500 0.500 0.500
Se 0.500 0.500 0.000

Entry 3:
An optimized crystal structure of Sc6Sn2GeC. Source: Alexandria via LeMat-Bulk, functional PBE.

Properties
SG ... P4/mmm

abc: 4.808 4.808 9.473
angles: 90.00 90.00 90.00
Sites, in units of the cell vectors:
Sc 0.500 0.000 0.000
Sc 0.500 0.000 0.500
Sc 0.000 0.500 0.000
Sc 0.000 0.500 0.500
Sc 0.500 0.500 0.729
Sc 0.500 0.500 0.271
Sn 0.000 0.000 0.746
Sn 0.000 0.000 0.254
Ge 0.500 0.500 0.000
C 0.500 0.500 0.500

Entry 4:
An optimized crystal structure of SiCIO2. Source: Alexandria via LeMat-Bulk, functional PBE.

Properties
Raw formation energy ... 1.33 eV per atom
SG ... P4/mmm
E above lowest polymorph ... 1306 meV per atom

abc: 3.861 3.861 4.347
angles: 90.00 90.00 90.00
Sites, in units of the cell vectors:
I 0.000 0.000 0.500
Si 0.500 0.500 0.500
C 0.000 0.000 0.000
O 0.000 0.500 0.000
O 0.500 0.000 0.000

Entry 5:
An optimized crystal structure of Be2CrTc. Source: Alexandria via LeMat-Bulk, functional PBE.

Properties
SG ... P4/mmm
E above lowest polymorph ... 124 meV per atom

abc: 3.457 3.457 3.652
angles: 90.00 90.00 90.00
Sites, in units of the cell vectors:
Cr 0.500 0.000 0.500
Tc 0.000 0.500 0.500
Be 0.000 0.000 0.000
Be 0.500 0.500 0.000

Entry 6:
An optimized crystal structure of KLa2Sc. Source: Alexandria via LeMat-Bulk, functional PBE.

Properties
SG ... Fm-3m
E above lowest polymorph ... 308 meV per atom

abc: 5.934 5.934 5.934
angles: 60.00 60.00 60.00
Sites, in units of the cell vectors:
Sc 0.500 0.500 0.500
K 0.000 0.000 0.000
La 0.250 0.250 0.250
La 0.750 0.750 0.750

Number 1: magnetic moment 0.82 μB per formula unit, uncorrected energy -11.46 eV per atom. Number 2: magnetic moment 0.00 μB per formula unit, uncorrected energy -5.40 eV per atom. Number 3: magnetic moment 0.00 μB per formula unit, uncorrected energy -6.52 eV per atom. Number 4: magnetic moment 0.00 μB per formula unit, uncorrected energy -3.90 eV per atom. Number 5: magnetic moment 0.00 μB per formula unit, uncorrected energy -6.82 eV per atom. Number 6: magnetic moment 0.00 μB per formula unit, uncorrected energy -3.82 eV per atom.